DFT (GGA-PBE) results for SrTb2MgAu4 after structural relaxation.

Geometry as POSCAR:
```
SrTb2MgAu4
1.0
2.5134 1.4511 8.7372
-2.5134 1.4511 8.7372
0.0000 -2.9023 8.7372
Sr Tb Mg Au
1 2 1 4
Direct
0.0000 0.0000 0.0000
0.2390 0.2390 0.2390
0.7610 0.7610 0.7610
0.5000 0.5000 0.5000
0.1251 0.1251 0.1251
0.3936 0.3936 0.3936
0.6064 0.6064 0.6064
0.8749 0.8749 0.8749
```

Calculated values
* formation energy from the elements: -0.74 eV per atom
* V: 191.2 Å³/f.u.
* ρ: 10.57 g cm⁻³
* DOS at the Fermi energy: 5.0 states/eV/f.u.